## ScBeCr2O6 (PBE+U)

Data for a relaxed ScBeCr2O6 crystal.

## Properties
- Magnetic moment: 0.500 μB/atom
- E: -7.716 eV/atom
- Space group: R3

Cell lengths 4.9883, 4.9886, 5.4763 Å; angles 62.91, 62.92, 60.00 degrees
Each line ends with the local moment (μB).
Element x y z (fractional)
Sc: 0.8125 0.8124 0.5626  0.03
Be: 0.2658 0.2658 0.2025  0.01
Cr: 0.5142 0.5142 0.4573  2.94
Cr: 0.0192 0.0192 0.9424  2.29
O: 0.5963 0.2329 0.2279  -0.05
O: 0.2329 0.9428 0.2279  -0.05
O: 0.9427 0.5964 0.2279  -0.05
O: 0.3891 0.7598 0.7222  -0.07
O: 0.7599 0.1289 0.7222  -0.07
O: 0.1289 0.3891 0.7224  -0.07